Entry one
Computed, not measured: an optimized crystal structure of Ce4SbRu at the PBE-GGA level of DFT.

Values from the calculation:
Density, g/cm3: 8.5
Magnetization, Bohr magnetons per cell: 4.47
Space-group type: C2/c, No. 15
D(E_F), states/eV/atom: 2.61

```
12
Lattice="4.2713 -6.3843 0.0000 4.2713 6.3843 0.0000 -2.1077 0.0000 5.6021" Properties=species:S:1:pos:R:3 pbc="T T T"
Ce 1.2756 3.9058 5.1383
Ce 0.9186 1.2390 3.7309
Ce 4.1056 3.9058 3.2648
Ce 1.9724 -1.2390 0.9298
Ce 4.4626 1.2390 4.6722
Ce 2.3294 -3.9058 2.3373
Ce 5.5164 -1.2390 1.8712
Ce 5.1594 -3.9058 0.4638
Sb 3.7444 1.3665 1.4005
Sb 2.6906 -1.3665 4.2015
Ru 3.7444 6.3294 1.4005
Ru 2.6906 -6.3294 4.2015
```

=====

Entry two
Computed, not measured: an optimized crystal structure of Ce4SbRu at the PBE-GGA level of DFT.

Values from the calculation:
Density, g/cm3: 8.7
Magnetization, Bohr magnetons per cell: 2.28
Space-group type: P2_1/m, No. 11
D(E_F), states/eV/atom: 2.34

```
12
Lattice="5.3920 0.0000 0.0000 0.0000 6.6560 0.0000 -0.8654 0.0000 8.3548" Properties=species:S:1:pos:R:3 pbc="T T T"
Ce 1.1278 1.6640 0.2254
Ce 0.8569 4.9920 3.1345
Ce 0.8714 3.5692 6.3518
Ce 0.8714 6.4148 6.3518
Ce 3.6551 0.2412 2.0029
Ce 3.6551 3.0868 2.0029
Ce 3.6697 1.6640 5.2203
Ce 3.3987 4.9920 8.1293
Sb 0.9659 1.6640 3.4649
Sb 3.5606 4.9920 4.8899
Ru 1.3295 4.9920 0.7884
Ru 3.1970 1.6640 7.5664
```

=====

Relative stability in meV/atom, measured from the most stable structure: entry one 17; entry two 0

=====

Entry one
Computed, not measured: an optimized crystal structure of Ce2ScRu at the PBE-GGA level of DFT.

Values from the calculation:
Density, g/cm3: 6.7
Magnetization, Bohr magnetons per cell: 0.08
Space-group type: R3m, No. 160
D(E_F), states/eV/atom: 2.45

```
4
Lattice="1.8671 1.0780 8.6900 -1.8671 1.0780 8.6900 0.0000 -2.1560 8.6900" Properties=species:S:1:pos:R:3 pbc="T T T"
Ce 0.0000 0.0000 0.0000
Ce 0.0000 0.0000 5.3011
Sc 0.0000 0.0000 11.3270
Ru 0.0000 0.0000 15.6862
```

=====

Entry two
Computed, not measured: an optimized crystal structure of Ce2ScRu at the PBE-GGA level of DFT.

Values from the calculation:
Density, g/cm3: 7.5
Magnetization, Bohr magnetons per cell: 0.01
Space-group type: Cmcm, No. 63
D(E_F), states/eV/atom: 2.12

```
8
Lattice="1.8154 -5.3895 0.0000 1.8154 5.3895 0.0000 0.0000 0.0000 9.6578" Properties=species:S:1:pos:R:3 pbc="T T T"
Ce 1.8154 3.9604 5.3966
Ce 1.8154 3.9604 9.0900
Ce 1.8154 -3.9604 0.5677
Ce 1.8154 -3.9604 4.2612
Sc 1.8154 0.9056 7.2433
Sc 1.8154 -0.9056 2.4144
Ru 1.8154 2.2498 2.4144
Ru 1.8154 -2.2498 7.2433
```

=====

Entry three
Computed, not measured: an optimized crystal structure of Ce2ScRu at the PBE-GGA level of DFT.

Values from the calculation:
Density, g/cm3: 7.5
Magnetization, Bohr magnetons per cell: 0.00
Space-group type: P4/mmm, No. 123
D(E_F), states/eV/atom: 2.04

```
4
Lattice="3.6787 0.0000 0.0000 0.0000 3.6787 0.0000 0.0000 0.0000 6.9949" Properties=species:S:1:pos:R:3 pbc="T T T"
Ce 0.0000 0.0000 1.4208
Ce 0.0000 0.0000 5.5742
Sc 1.8394 1.8394 3.4975
Ru 1.8394 1.8394 0.0000
```

=====

Entry four
Computed, not measured: an optimized crystal structure of Ce2ScRu at the PBE-GGA level of DFT.

Values from the calculation:
Density, g/cm3: 7.8
Magnetization, Bohr magnetons per cell: 0.00
Space-group type: R-3m, No. 166
D(E_F), states/eV/atom: 2.03

```
4
Lattice="2.4007 1.3860 4.5645 -2.4007 1.3860 4.5645 0.0000 -2.7721 4.5645" Properties=species:S:1:pos:R:3 pbc="T T T"
Ce 0.0000 0.0000 3.3401
Ce 0.0000 0.0000 10.3535
Sc 0.0000 0.0000 0.0000
Ru 0.0000 0.0000 6.8468
```

=====

Relative stability in meV/atom, measured from the most stable structure: entry one 217; entry two 0; entry three 129; entry four 233

=====

Entry one
Computed, not measured: an optimized crystal structure of CeSc2Ru3 at the PBE-GGA level of DFT.

Values from the calculation:
Density, g/cm3: 8.3
Magnetization, Bohr magnetons per cell: 0.00
Space-group type: P4/mmm, No. 123
D(E_F), states/eV/atom: 0.36

```
6
Lattice="3.3127 0.0000 0.0000 0.0000 3.3127 0.0000 0.0000 0.0000 9.7430" Properties=species:S:1:pos:R:3 pbc="T T T"
Ce 0.0000 0.0000 0.0000
Sc 0.0000 0.0000 3.3338
Sc 0.0000 0.0000 6.4092
Ru 1.6563 1.6563 1.6357
Ru 1.6563 1.6563 4.8715
Ru 1.6563 1.6563 8.1072
```

=====

Entry two
Computed, not measured: an optimized crystal structure of CeSc2Ru3 at the PBE-GGA level of DFT.

Values from the calculation:
Density, g/cm3: 8.3
Magnetization, Bohr magnetons per cell: 0.00
Space-group type: P-3m1, No. 164
D(E_F), states/eV/atom: 0.76

```
6
Lattice="4.6558 0.0000 0.0000 -2.3279 4.0320 0.0000 0.0000 0.0000 5.6947" Properties=species:S:1:pos:R:3 pbc="T T T"
Ce 0.0000 0.0000 0.0000
Sc 0.0000 2.6880 3.7189
Sc 2.3279 1.3440 1.9758
Ru 0.0000 0.0000 2.8473
Ru 0.0000 2.6880 0.9408
Ru 2.3279 1.3440 4.7539
```

=====

Relative stability in meV/atom, measured from the most stable structure: entry one 30; entry two 0

=====

Entry one
Computed, not measured: an optimized crystal structure of Ce2Sm2Ru3 at the PBE-GGA level of DFT.

Values from the calculation:
Density, g/cm3: 8.9
Magnetization, Bohr magnetons per cell: 0.00
Space-group type: P-1, No. 2
D(E_F), states/eV/atom: 0.84

```
7
Lattice="4.0931 0.0000 0.0000 2.0450 5.7331 0.0000 2.0359 0.1637 7.0169" Properties=species:S:1:pos:R:3 pbc="T T T"
Ce 2.0414 1.2800 2.7989
Ce 6.1326 4.6168 4.2180
Sm 4.0822 1.7540 6.1521
Sm 4.0918 4.1428 0.8648
Ru 4.0814 4.9339 5.7852
Ru 4.0870 2.9484 3.5085
Ru 4.0927 0.9628 1.2317
```

=====

Entry two
Computed, not measured: an optimized crystal structure of Ce2Sm2Ru3 at the PBE-GGA level of DFT.

Values from the calculation:
Density, g/cm3: 8.3
Magnetization, Bohr magnetons per cell: 0.00
Space-group type: P-1, No. 2
D(E_F), states/eV/atom: 0.66

```
7
Lattice="4.3743 0.0000 0.0000 -2.1811 5.5066 0.0000 -0.0069 -1.2166 7.3043" Properties=species:S:1:pos:R:3 pbc="T T T"
Ce -0.0015 0.9681 2.9192
Ce 2.1877 3.3220 4.3851
Sm 0.0034 3.9150 0.9944
Sm 2.1828 0.3750 6.3099
Ru -0.0027 2.5213 5.4291
Ru 2.1837 -0.6083 3.6522
Ru 2.1889 1.7688 1.8752
```

=====

Relative stability in meV/atom, measured from the most stable structure: entry one 0; entry two 105

=====

Entry one
Computed, not measured: an optimized crystal structure of CeSmRu at the PBE-GGA level of DFT.

Values from the calculation:
Density, g/cm3: 9.2
Magnetization, Bohr magnetons per cell: 0.00
Space-group type: I4mm, No. 107
D(E_F), states/eV/atom: 1.48

```
3
Lattice="-1.7708 1.7708 5.6109 1.7708 -1.7708 5.6109 1.7708 1.7708 -5.6109" Properties=species:S:1:pos:R:3 pbc="T T T"
Ce 0.0000 0.0000 0.0000
Sm 0.0000 0.0000 3.2746
Ru 0.0000 0.0000 6.9245
```

=====

Entry two
Computed, not measured: an optimized crystal structure of CeSmRu at the PBE-GGA level of DFT.

Values from the calculation:
Density, g/cm3: 7.9
Magnetization, Bohr magnetons per cell: 1.09
Space-group type: P2_1/c, No. 14
D(E_F), states/eV/atom: 1.52

```
12
Lattice="5.7107 0.0000 0.0000 0.0000 8.6606 0.0000 -2.7957 0.0000 6.6380" Properties=species:S:1:pos:R:3 pbc="T T T"
Ce 0.0125 1.0485 3.2040
Ce -1.3853 3.2818 6.5230
Ce 4.3003 5.3788 0.1150
Ce 2.9025 7.6121 3.4340
Sm 0.0864 5.4601 3.4737
Sm 1.4842 7.5308 0.1547
Sm 1.4307 1.1298 6.4833
Sm 2.8286 3.2005 3.1643
Ru -1.7821 1.1060 4.9348
Ru -0.3842 3.2243 1.6158
Ru 3.2992 5.4363 5.0222
Ru 4.6971 7.5546 1.7032
```

=====

Entry three
Computed, not measured: an optimized crystal structure of CeSmRu at the PBE-GGA level of DFT.

Values from the calculation:
Density, g/cm3: 8.5
Magnetization, Bohr magnetons per cell: 0.00
Space-group type: P2_1/m, No. 11
D(E_F), states/eV/atom: 1.46

```
6
Lattice="4.7415 0.0000 0.0000 0.0000 4.3912 0.0000 -0.3375 0.0000 7.3636" Properties=species:S:1:pos:R:3 pbc="T T T"
Ce 1.1190 1.0978 0.0445
Ce 3.2850 3.2934 7.3191
Sm 1.0406 3.2934 2.7971
Sm 3.3634 1.0978 4.5665
Ru 1.4900 3.2934 5.6756
Ru 2.9141 1.0978 1.6880
```

=====

Entry four
Computed, not measured: an optimized crystal structure of CeSmRu at the PBE-GGA level of DFT.

Values from the calculation:
Density, g/cm3: 8.1
Magnetization, Bohr magnetons per cell: 0.00
Space-group type: P-6m2, No. 187
D(E_F), states/eV/atom: 1.11

```
3
Lattice="4.3226 0.0000 0.0000 -2.1613 3.7434 0.0000 0.0000 0.0000 4.9607" Properties=species:S:1:pos:R:3 pbc="T T T"
Ce 0.0000 0.0000 0.0000
Sm 0.0000 2.4956 2.4804
Ru 2.1613 1.2478 0.0000
```

=====

Relative stability in meV/atom, measured from the most stable structure: entry one 54; entry two 0; entry three 9; entry four 101

=====

Entry one
Computed, not measured: an optimized crystal structure of Ce2SmRu3 at the PBE-GGA level of DFT.

Values from the calculation:
Density, g/cm3: 9.3
Magnetization, Bohr magnetons per cell: 0.00
Space-group type: P6/mmm, No. 191
D(E_F), states/eV/atom: 0.69

```
6
Lattice="6.1171 0.0000 0.0000 -3.0585 5.2976 0.0000 0.0000 0.0000 4.0438" Properties=species:S:1:pos:R:3 pbc="T T T"
Ce 0.0000 3.5317 0.0000
Ce 3.0585 1.7658 0.0000
Sm 0.0000 0.0000 0.0000
Ru -1.5293 2.6488 2.0219
Ru 3.0585 0.0000 2.0219
Ru 1.5293 2.6488 2.0219
```

=====

Entry two
Computed, not measured: an optimized crystal structure of Ce2SmRu3 at the PBE-GGA level of DFT.

Values from the calculation:
Density, g/cm3: 9.8
Magnetization, Bohr magnetons per cell: 0.00
Space-group type: P-3m1, No. 164
D(E_F), states/eV/atom: 0.76

```
12
Lattice="4.7302 0.0000 0.0000 -2.3651 4.0964 0.0000 0.0000 0.0000 12.8862" Properties=species:S:1:pos:R:3 pbc="T T T"
Ce 0.0000 0.0000 0.0000
Ce 0.0000 0.0000 6.4431
Ce 0.0000 2.7310 2.1438
Ce 2.3651 1.3655 10.7423
Sm 0.0000 2.7310 8.6089
Sm 2.3651 1.3655 4.2773
Ru 0.0000 0.0000 2.9283
Ru 0.0000 0.0000 9.9578
Ru 0.0000 2.7310 5.5649
Ru 0.0000 2.7310 11.7514
Ru 2.3651 1.3655 1.1347
Ru 2.3651 1.3655 7.3213
```

=====

Relative stability in meV/atom, measured from the most stable structure: entry one 59; entry two 0

=====

Entry one
Computed, not measured: an optimized crystal structure of Ce2SmRu at the PBE-GGA level of DFT.

Values from the calculation:
Density, g/cm3: 8.5
Magnetization, Bohr magnetons per cell: 0.00
Space-group type: Cmcm, No. 63
D(E_F), states/eV/atom: 2.00

```
8
Lattice="1.8694 -5.8414 0.0000 1.8694 5.8414 0.0000 0.0000 0.0000 9.5434" Properties=species:S:1:pos:R:3 pbc="T T T"
Ce 1.8694 4.1993 5.3473
Ce 1.8694 4.1993 8.9678
Ce 1.8694 -4.1993 0.5756
Ce 1.8694 -4.1993 4.1961
Sm 1.8694 0.9216 7.1575
Sm 1.8694 -0.9216 2.3858
Ru 1.8694 2.3729 2.3858
Ru 1.8694 -2.3729 7.1575
```

=====

Entry two
Computed, not measured: an optimized crystal structure of Ce2SmRu at the PBE-GGA level of DFT.

Values from the calculation:
Density, g/cm3: 7.7
Magnetization, Bohr magnetons per cell: 0.18
Space-group type: R3m, No. 160
D(E_F), states/eV/atom: 2.28

```
4
Lattice="1.9319 1.1154 8.8886 -1.9319 1.1154 8.8886 0.0000 -2.2307 8.8886" Properties=species:S:1:pos:R:3 pbc="T T T"
Ce 0.0000 0.0000 0.0000
Ce 0.0000 0.0000 5.6739
Sm 0.0000 0.0000 11.7292
Ru 0.0000 0.0000 16.1360
```

=====

Relative stability in meV/atom, measured from the most stable structure: entry one 0; entry two 137

=====

Entry one
Computed, not measured: an optimized crystal structure of Ce2SmRu at the PBE-GGA level of DFT.

Values from the calculation:
Density, g/cm3: 8.9
Magnetization, Bohr magnetons per cell: 0.06
Space-group type: R-3m, No. 166
D(E_F), states/eV/atom: 2.57

```
4
Lattice="2.7549 1.5905 3.7638 -2.7549 1.5905 3.7638 0.0000 -3.1811 3.7638" Properties=species:S:1:pos:R:3 pbc="T T T"
Ce 0.0000 0.0000 2.5926
Ce 0.0000 0.0000 8.6987
Sm 0.0000 0.0000 5.6457
Ru 0.0000 0.0000 0.0000
```

=====

Entry two
Computed, not measured: an optimized crystal structure of Ce2SmRu at the PBE-GGA level of DFT.

Values from the calculation:
Density, g/cm3: 8.5
Magnetization, Bohr magnetons per cell: 0.70
Space-group type: P4/mmm, No. 123
D(E_F), states/eV/atom: 2.44

```
4
Lattice="3.5878 0.0000 0.0000 0.0000 3.5878 0.0000 0.0000 0.0000 8.0577" Properties=species:S:1:pos:R:3 pbc="T T T"
Ce 0.0000 0.0000 1.5349
Ce 0.0000 0.0000 6.5228
Sm 1.7939 1.7939 4.0289
Ru 1.7939 1.7939 0.0000
```

=====

Relative stability in meV/atom, measured from the most stable structure: entry one 171; entry two 0

=====

Entry one
Computed, not measured: an optimized crystal structure of CeSm2Ru3 at the PBE-GGA level of DFT.

Values from the calculation:
Density, g/cm3: 9.2
Magnetization, Bohr magnetons per cell: 0.00
Space-group type: Immm, No. 71
D(E_F), states/eV/atom: 1.08

```
6
Lattice="-2.2825 2.8059 5.2144 2.2825 -2.8059 5.2144 2.2825 2.8059 -5.2144" Properties=species:S:1:pos:R:3 pbc="T T T"
Ce 0.0000 0.0000 0.0000
Sm 0.0000 0.0000 3.4368
Sm 0.0000 0.0000 6.9920
Ru 2.2825 0.0000 1.4202
Ru 0.0000 2.8059 0.0000
Ru 0.0000 2.8059 3.7942
```

=====

Entry two
Computed, not measured: an optimized crystal structure of CeSm2Ru3 at the PBE-GGA level of DFT.

Values from the calculation:
Density, g/cm3: 9.9
Magnetization, Bohr magnetons per cell: 0.00
Space-group type: Cmmm, No. 65
D(E_F), states/eV/atom: 0.60

```
12
Lattice="2.4574 -7.2994 0.0000 2.4574 7.2994 0.0000 0.0000 0.0000 6.9614" Properties=species:S:1:pos:R:3 pbc="T T T"
Ce 2.4574 4.8774 0.0000
Ce 2.4574 -4.8774 0.0000
Sm 2.4574 4.8803 3.4807
Sm 2.4574 0.0000 0.0000
Sm 2.4574 0.0000 3.4807
Sm 2.4574 -4.8803 3.4807
Ru 0.0000 0.0000 1.6515
Ru 0.0000 0.0000 5.3100
Ru 2.4574 2.5149 1.6076
Ru 2.4574 2.5149 5.3538
Ru 2.4574 -2.5149 1.6076
Ru 2.4574 -2.5149 5.3538
```

=====

Relative stability in meV/atom, measured from the most stable structure: entry one 297; entry two 0

=====

Entry one
Computed, not measured: an optimized crystal structure of Ce3Sn2Ru at the PBE-GGA level of DFT.

Values from the calculation:
Density, g/cm3: 7.6
Magnetization, Bohr magnetons per cell: 2.39
Space-group type: C2/m, No. 12
D(E_F), states/eV/atom: 2.14

```
12
Lattice="3.9012 -5.4668 0.0000 3.9012 5.4668 0.0000 -1.5919 0.0000 7.7644" Properties=species:S:1:pos:R:3 pbc="T T T"
Ce 0.5465 2.0145 5.9437
Ce 1.1571 0.0000 1.4341
Ce 0.5465 -2.0145 5.9437
Ce 5.6640 2.0145 1.8207
Ce 5.0534 0.0000 6.3303
Ce 5.6640 -2.0145 1.8207
Sn -0.7959 0.0000 3.8822
Sn 3.1053 1.4338 3.8822
Sn 3.9012 0.0000 0.0000
Sn 3.1053 -1.4338 3.8822
Ru 3.9012 3.1844 0.0000
Ru 3.9012 -3.1844 0.0000
```

=====

Entry two
Computed, not measured: an optimized crystal structure of Ce3Sn2Ru at the PBE-GGA level of DFT.

Values from the calculation:
Density, g/cm3: 8.0
Magnetization, Bohr magnetons per cell: 7.00
Space-group type: Pnma, No. 62
D(E_F), states/eV/atom: 2.07

```
24
Lattice="12.8505 0.0000 0.0000 0.0000 4.7844 0.0000 0.0000 0.0000 10.2874" Properties=species:S:1:pos:R:3 pbc="T T T"
Ce 0.7303 1.1961 1.0186
Ce 1.6002 3.5883 5.6249
Ce 3.0282 3.5883 2.8813
Ce 3.3970 1.1961 8.0249
Ce 4.8250 1.1961 0.4813
Ce 5.6950 3.5883 6.1622
Ce 7.1555 1.1961 4.1251
Ce 8.0255 3.5883 9.8061
Ce 9.4535 3.5883 2.2624
Ce 9.8223 1.1961 7.4061
Ce 11.2503 1.1961 4.6624
Ce 12.1202 3.5883 9.2688
Sn 0.2256 1.1961 7.3576
Sn 2.6216 3.5883 9.9733
Sn 3.8037 1.1961 4.8296
Sn 6.1996 3.5883 2.2139
Sn 6.6509 1.1961 8.0735
Sn 9.0468 3.5883 5.4578
Sn 10.2289 1.1961 0.3141
Sn 12.6249 3.5883 2.9298
Ru 1.2372 1.1961 3.4948
Ru 5.1881 3.5883 8.6385
Ru 7.6624 1.1961 1.6488
Ru 11.6133 3.5883 6.7925
```

=====

Relative stability in meV/atom, measured from the most stable structure: entry one 189; entry two 0